Below is a geometry-optimized GdBiNO structure, with properties calculated at the PBE-GGA level.

Cell: 5.8683 8.3830 5.8060 Å, 90.00 90.00 90.00°
Atoms (fractional coordinates):
Bi  0.9933  0.8716  0.4737
Bi  0.0067  0.1284  0.9737
Bi  0.4933  0.1284  0.4737
Bi  0.5067  0.8716  0.9737
O  0.2520  0.4915  0.7140
O  0.2480  0.4915  0.2140
O  0.7520  0.5085  0.7140
O  0.7480  0.5085  0.2140
N  0.5929  0.8827  0.5511
N  0.4071  0.1173  0.0511
N  0.9070  0.8827  0.0511
N  0.0930  0.1173  0.5511
Gd  0.5083  0.3787  0.9635
Gd  0.4917  0.6213  0.4635
Gd  0.0083  0.6213  0.9635
Gd  0.9917  0.3787  0.4635

## Properties
* V: 71 Å³/f.u.
* offset from the most stable computed form: 0 meV per atom